## HfTiGeSb2 (PBE-GGA)

Data for an optimized crystal structure of HfTiGeSb2.

Output
Size of the total moment, μB/f.u.: 0.0
DOS(E_F), states/eV per atom: 1.35
Uncorrected formation energy, eV/f.u.: 4.1

Lattice parameters (Å, degrees): 5.449 5.449 4.948 90.00 90.00 90.00
Sites, in units of the cell vectors:
Hf 0.000 0.000 0.000
Ti 0.000 0.000 0.500
Ge 0.500 0.500 0.500
Sb 0.000 0.500 0.000
Sb 0.500 0.000 0.000

---

## HfZnGeSb2 (PBE-GGA)

Data for an optimized crystal structure of HfZnGeSb2.

Output
Size of the total moment, μB/f.u.: 0.0
DOS(E_F), states/eV per atom: 0.36
Uncorrected formation energy, eV/f.u.: 3.8

Lattice parameters (Å, degrees): 5.058 5.058 5.171 90.00 90.00 90.00
Sites, in units of the cell vectors:
Hf 0.000 0.000 0.000
Zn 0.000 0.000 0.500
Ge 0.500 0.500 0.000
Sb 0.000 0.500 0.500
Sb 0.500 0.000 0.500

---

## HfZnGeSb2 (PBE-GGA)

Data for an optimized crystal structure of HfZnGeSb2.

Output
Size of the total moment, μB/f.u.: 0.0
DOS(E_F), states/eV per atom: 0.78
Uncorrected formation energy, eV/f.u.: 3.0

Lattice parameters (Å, degrees): 5.486 5.486 5.174 90.00 90.00 90.00
Sites, in units of the cell vectors:
Hf 0.000 0.000 0.000
Zn 0.000 0.000 0.500
Ge 0.500 0.500 0.500
Sb 0.000 0.500 0.000
Sb 0.500 0.000 0.000

---

## HfScGe2 (PBE-GGA)

Data for an optimized crystal structure of HfScGe2.

Output
Size of the total moment, μB/f.u.: 0.0
Energy of formation, eV per formula unit: -1.5
DOS(E_F), states/eV per atom: 1.77

Lattice parameters (Å, degrees): 4.761 4.761 4.761 60.00 60.00 60.00
Sites, in units of the cell vectors:
Hf 0.000 0.000 0.000
Sc 0.500 0.500 0.500
Ge 0.250 0.250 0.250
Ge 0.750 0.750 0.750

---

- DOS(E_F) of number 4 (HfScGe2)?
  1.77 states/eV per atom